# 1
Below is a crystal of K2BaIr relaxed with PBEsol, with properties calculated at the SCAN level.

CIF file:
```
data_K2BaIr
_space_group_name_H-M_alt 'I m m 2'
_space_group_IT_number 44
_space_group_name_Hall 'I 2 -2'
_cell_length_a 3.921
_cell_length_b 5.692
_cell_length_c 15.858
_cell_angle_alpha 90.00
_cell_angle_beta 90.00
_cell_angle_gamma 90.00
loop_
_atom_site_label
_atom_site_type_symbol
_atom_site_fract_x
_atom_site_fract_y
_atom_site_fract_z
K1 K 0.000 0.000 0.000
K2 K 0.000 0.500 0.142
Ba1 Ba 0.000 0.500 0.850
Ir1 Ir 0.000 0.000 0.476
```

Mass density in g cm⁻³: 3.83
Raw total energy in eV per atom: -31.43
E above lowest polymorph in kJ per mole of atoms: 0.00

=====

# 2
Below is a crystal of HgAuOF2 relaxed with PBEsol, with properties calculated at the SCAN level.

CIF file:
```
data_HgAuOF2
_space_group_name_H-M_alt 'P 4/m m m'
_space_group_IT_number 123
_space_group_name_Hall '-P 4 2'
_cell_length_a 4.286
_cell_length_b 4.286
_cell_length_c 4.069
_cell_angle_alpha 90.00
_cell_angle_beta 90.00
_cell_angle_gamma 90.00
loop_
_atom_site_label
_atom_site_type_symbol
_atom_site_fract_x
_atom_site_fract_y
_atom_site_fract_z
Hg1 Hg 0.000 0.000 0.000
Au1 Au 0.500 0.500 0.500
O1 O 0.500 0.500 0.000
F1 F 0.000 0.500 0.500
```

Mass density in g cm⁻³: 10.03
Formation energy from raw total energies in eV/atom: -0.398
Raw total energy in eV per atom: -30.52